Run P
# Hf2GeTe (PBE, relaxed)
data_Hf2GeTe
_chemical_formula_sum 'Hf6 Ge3 Te3'
_space_group_name_H-M_alt 'R -3 m'
_space_group_IT_number 166
_space_group_name_Hall '-R 3 2"'
_cell_length_a 3.9750
_cell_length_b 3.9750
_cell_length_c 19.8858
_cell_angle_alpha 90.00
_cell_angle_beta 90.00
_cell_angle_gamma 120.00
loop_
_atom_site_label
_atom_site_type_symbol
_atom_site_fract_x
_atom_site_fract_y
_atom_site_fract_z
_atom_site_occupancy
Hf1 Hf 0.0000 0.0000 0.2332 1
Ge1 Ge 0.0000 0.0000 0.5000 1
Te1 Te 0.0000 0.0000 0.0000 1
# - magnetic moment (μB per formula unit) = 0.000


Run Q
# Hf2GeTe (PBE, relaxed)
data_Hf2GeTe
_chemical_formula_sum 'Hf8 Ge4 Te4'
_space_group_name_H-M_alt 'F m -3 m'
_space_group_IT_number 225
_space_group_name_Hall '-F 4 2 3'
_cell_length_a 6.9081
_cell_length_b 6.9081
_cell_length_c 6.9081
_cell_angle_alpha 90.00
_cell_angle_beta 90.00
_cell_angle_gamma 90.00
loop_
_atom_site_label
_atom_site_type_symbol
_atom_site_fract_x
_atom_site_fract_y
_atom_site_fract_z
_atom_site_occupancy
Hf1 Hf 0.2500 0.2500 0.2500 1
Ge1 Ge 0.0000 0.0000 0.0000 1
Te1 Te 0.0000 0.0000 0.5000 1
# - magnetic moment (μB per formula unit) = 0.000


Ranking the structures above by energy, run P is first and the second is 0.261 eV/atom behind.